Crystalline VTeP2O at its relaxed geometry. Source: the Alexandria database, functional PBE with a Hubbard U.

## Properties
E = -4.32 eV/atom
size of the total moment = 0.44 Bohr magnetons per cell
ΔE to the lowest computed polymorph = 1.003 eV per atom

Structure (extended XYZ):
```
5
Lattice="-2.174 -1.400 -4.333 -0.619 -4.666 1.818 -3.510 1.023 1.430" Properties=species:S:1:pos:R:3 pbc="T T T"
P -0.310 -2.333 0.909
P -1.087 -0.700 -2.167
Te 0.000 0.000 0.000
O -1.755 0.512 0.715
V -3.152 -2.521 -0.543
```